Computed, not measured: a geometry-optimized Ac4PrSm3 structure at the PBE-GGA level of DFT.

Uncorrected energy: -4.38 eV per atom
Symmetry: Pmn2_1
Theoretical density: 7.91 g/cm³

Cell lengths 10.9366, 7.5892, 7.5888 Å; angles 90.00, 90.00, 90.00 degrees
Positions (direct):
1 Ac 0.0000 0.0008 0.0000
2 Ac 0.0000 0.4993 0.4982
3 Ac 0.2487 0.7493 0.7490
4 Ac 0.2513 0.2507 0.2490
5 Ac 0.5000 0.5007 0.9982
6 Ac 0.5000 0.9992 0.5000
7 Ac 0.7487 0.2507 0.2490
8 Ac 0.7513 0.7493 0.7490
9 Pr 0.0000 0.0005 0.4986
10 Pr 0.5000 0.9995 0.9986
11 Sm 0.0000 0.4997 0.9996
12 Sm 0.2499 0.2515 0.7490
13 Sm 0.2501 0.7485 0.2490
14 Sm 0.5000 0.5003 0.4996
15 Sm 0.7501 0.2515 0.7490
16 Sm 0.7499 0.7485 0.2490

Computed, not measured: a geometry-optimized RbCa2Ru structure at the PBE-GGA level of DFT.

Excess energy over the best structure of this formula in the dataset: 84 meV per atom
Uncorrected energy: -2.92 eV per atom
Symmetry: Fm-3m
Theoretical density: 3.92 g/cm³

Cell lengths 5.4240, 5.4240, 5.4240 Å; angles 60.00, 60.00, 60.00 degrees
Positions (direct):
1 Rb 0.0000 0.0000 0.0000
2 Ca 0.2500 0.2500 0.2500
3 Ca 0.7500 0.7500 0.7500
4 Ru 0.5000 0.5000 0.5000

Computed, not measured: a geometry-optimized Te2PtPb structure at the PBE-GGA level of DFT.

Uncorrected energy: -3.81 eV per atom
Symmetry: Cmmm
Energy relative to the elements, uncorrected: 197 meV per atom
Theoretical density: 10.83 g/cm³

Cell lengths 5.2057, 5.2057, 3.7210 Å; angles 90.00, 90.00, 90.06 degrees
Positions (direct):
1 Te 0.0000 0.5000 0.0000
2 Te 0.5000 0.0000 0.0000
3 Pt 0.0000 0.0000 0.5000
4 Pb 0.5000 0.5000 0.5000

Computed, not measured: a geometry-optimized Mg2Zn2GaPd5 structure at the PBE-GGA level of DFT.

Uncorrected energy: -4.02 eV per atom
Symmetry: P4/mbm
Theoretical density: 8.02 g/cm³

Cell lengths 9.3959, 9.3959, 3.6646 Å; angles 90.00, 90.00, 90.00 degrees
Positions (direct):
1 Mg 0.1695 0.3305 0.0000
2 Mg 0.3305 0.8305 0.0000
3 Mg 0.6695 0.1695 0.0000
4 Mg 0.8305 0.6695 0.0000
5 Zn 0.1284 0.6284 0.0000
6 Zn 0.3716 0.1284 0.0000
7 Zn 0.6284 0.8716 0.0000
8 Zn 0.8716 0.3716 0.0000
9 Ga 0.0000 0.0000 0.0000
10 Ga 0.5000 0.5000 0.0000
11 Pd 0.0000 0.5000 0.5000
12 Pd 0.0815 0.8079 0.5000
13 Pd 0.1921 0.0815 0.5000
14 Pd 0.3079 0.5815 0.5000
15 Pd 0.4185 0.3079 0.5000
16 Pd 0.5000 0.0000 0.5000
17 Pd 0.5815 0.6921 0.5000
18 Pd 0.6921 0.4185 0.5000
19 Pd 0.8079 0.9185 0.5000
20 Pd 0.9185 0.1921 0.5000

Computed, not measured: a geometry-optimized Zr2CuSiRu structure at the PBE-GGA level of DFT.

Uncorrected energy: -6.83 eV per atom
Symmetry: P4/mmm
Energy relative to the elements, uncorrected: 353 meV per atom
Theoretical density: 5.57 g/cm³

Cell lengths 5.0000, 5.0000, 4.4768 Å; angles 90.00, 90.00, 90.00 degrees
Positions (direct):
1 Zr 0.0000 0.5000 0.0000
2 Zr 0.5000 0.0000 0.0000
3 Cu 0.0000 0.0000 0.5000
4 Si 0.5000 0.5000 0.5000
5 Ru 0.5000 0.5000 0.0000

Computed, not measured: a geometry-optimized PrNd4Sm3Te8 structure at the PBE-GGA level of DFT.

Uncorrected energy: -5.35 eV per atom
Symmetry: C2/m
Energy relative to the elements, uncorrected: -1405 meV per atom
Theoretical density: 7.13 g/cm³

Cell lengths 8.9651, 8.9651, 8.9609 Å; angles 119.96, 119.96, 60.08 degrees
Positions (direct):
1 Pr 0.0000 0.0000 0.0000
2 Nd 0.0000 0.0000 0.5000
3 Nd 0.0000 0.5000 0.5000
4 Nd 0.5000 0.0000 0.5000
5 Nd 0.5000 0.5000 0.5000
6 Sm 0.0000 0.5000 0.0000
7 Sm 0.5000 0.0000 0.0000
8 Sm 0.5000 0.5000 0.0000
9 Te 0.2509 0.2509 0.2478
10 Te 0.2509 0.7460 0.2478
11 Te 0.2515 0.2515 0.7546
12 Te 0.2540 0.7491 0.7522
13 Te 0.7460 0.2509 0.2478
14 Te 0.7485 0.7485 0.2454
15 Te 0.7491 0.2540 0.7522
16 Te 0.7491 0.7491 0.7522

Computed, not measured: a geometry-optimized Ta2HgPb structure at the PBE-GGA level of DFT.

Excess energy over the best structure of this formula in the dataset: 216 meV per atom
Uncorrected energy: -6.39 eV per atom
Symmetry: Immm
Theoretical density: 15.60 g/cm³

Cell lengths 5.6232, 5.6232, 5.6232 Å; angles 142.79, 129.48, 64.39 degrees
Positions (direct):
1 Ta 0.2496 0.2496 0.0000
2 Ta 0.7504 0.7504 0.0000
3 Hg 0.5000 0.0000 0.5000
4 Pb 0.0000 0.5000 0.5000

Computed, not measured: a geometry-optimized VCo6Ni2 structure at the PBE-GGA level of DFT.

Uncorrected energy: -6.96 eV per atom
Symmetry: C2/m
Theoretical density: 8.58 g/cm³

Cell lengths 6.5495, 6.5495, 4.2095 Å; angles 98.99, 98.99, 140.82 degrees
Positions (direct):
1 V 0.0000 0.0000 0.0000
2 Co 0.1734 0.5022 0.1639
3 Co 0.3275 0.3275 0.6613
4 Co 0.4978 0.8266 0.8361
5 Co 0.5022 0.1734 0.1639
6 Co 0.6725 0.6725 0.3387
7 Co 0.8266 0.4978 0.8361
8 Ni 0.1688 0.8312 0.5000
9 Ni 0.8312 0.1688 0.5000